# 1
A plane-wave DFT calculation with PBE-GGA was carried out for an optimized crystal structure of AcTh2Ag6.

magnetization	0.00	μB/f.u.
theoretical density	10.1	Mg/m³

```
data_AcTh2Ag6
_chemical_formula_sum 'Ac1 Th2 Ag6'
_space_group_name_H-M_alt 'P 6/m m m'
_space_group_IT_number 191
_space_group_name_Hall '-P 6 2'
_cell_length_a 8.4962
_cell_length_b 8.4962
_cell_length_c 3.5192
_cell_angle_alpha 90.00
_cell_angle_beta 90.00
_cell_angle_gamma 120.00
loop_
_atom_site_label
_atom_site_type_symbol
_atom_site_fract_x
_atom_site_fract_y
_atom_site_fract_z
Ac1 Ac 0.0000 0.0000 0.0000
Th1 Th 0.3333 0.6667 0.0000
Ag1 Ag 0.0000 0.3364 0.5000
```



# 2
A plane-wave DFT calculation with PBE-GGA was carried out for an optimized crystal structure of BaPuAs2Pt4.

magnetization	5.08	μB/f.u.
theoretical density	12.0	Mg/m³

```
data_BaPuAs2Pt4
_chemical_formula_sum 'Ba1 Pu1 As2 Pt4'
_space_group_name_H-M_alt 'P 4/m m m'
_space_group_IT_number 123
_space_group_name_Hall '-P 4 2'
_cell_length_a 4.102
_cell_length_b 4.102
_cell_length_c 10.794
_cell_angle_alpha 90.00
_cell_angle_beta 90.00
_cell_angle_gamma 90.00
loop_
_atom_site_label
_atom_site_type_symbol
_atom_site_fract_x
_atom_site_fract_y
_atom_site_fract_z
Ba1 Ba 0.000 0.000 0.000
Pu1 Pu 0.000 0.000 0.500
As1 As 0.500 0.500 0.171
Pt1 Pt 0.000 0.500 0.302
```



# 3
A plane-wave DFT calculation with PBE-GGA was carried out for an optimized crystal structure of CaOsRu3.

magnetization	0.59	μB/f.u.
offset from the most stable computed form	0.000	eV/atom
theoretical density	8.3	Mg/m³

```
data_CaOsRu3
_chemical_formula_sum 'Ca1 Os1 Ru3'
_space_group_name_H-M_alt 'P m -3 m'
_space_group_IT_number 221
_space_group_name_Hall '-P 4 2 3'
_cell_length_a 4.734
_cell_length_b 4.734
_cell_length_c 4.734
_cell_angle_alpha 90.00
_cell_angle_beta 90.00
_cell_angle_gamma 90.00
loop_
_atom_site_label
_atom_site_type_symbol
_atom_site_fract_x
_atom_site_fract_y
_atom_site_fract_z
Ca1 Ca 0.000 0.000 0.000
Os1 Os 0.500 0.500 0.500
Ru1 Ru 0.000 0.500 0.500
```



# 4
A plane-wave DFT calculation with PBE-GGA was carried out for an optimized crystal structure of Li3Mg4Pb2.

magnetization	0.00	μB/f.u.
theoretical density	4.4	Mg/m³

```
data_Li3Mg4Pb2
_chemical_formula_sum 'Li3 Mg4 Pb2'
_space_group_name_H-M_alt 'P -1'
_space_group_IT_number 2
_space_group_name_Hall '-P 1'
_cell_length_a 4.512
_cell_length_b 5.452
_cell_length_c 9.221
_cell_angle_alpha 103.38
_cell_angle_beta 90.41
_cell_angle_gamma 114.16
loop_
_atom_site_label
_atom_site_type_symbol
_atom_site_fract_x
_atom_site_fract_y
_atom_site_fract_z
Li1 Li 0.000 0.000 0.000
Li2 Li 0.328 0.656 0.445
Mg1 Mg 0.005 0.010 0.665
Mg2 Mg 0.333 0.670 0.111
Pb1 Pb 0.335 0.666 0.772
```



no.,formation enthalpy at 0 K (kJ/mol of formula units),V (Å³ per atom),total DFT energy (no corrections) (eV per atom)
1,-144,24.4,-4.17
2,-479,22.7,-6.83
3,492,21.2,-7.19
4,-123,22.2,-2.31